# 1
First-principles (PBE) data for a relaxed RbAsSe2O crystal, as listed in Alexandria via LeMat-Bulk.

Properties
distance to the lowest polymorph of the same formula = 0.000 eV per atom
E_form (uncorrected) = 0.539 eV/f.u.

Lattice parameters (Å, degrees): 5.246 5.246 4.151 90.00 90.00 90.00
Site moments in Bohr magnetons follow the coordinates.
Sites, in units of the cell vectors:
O: 0.000 0.000 0.000  0.10
Se: 0.500 0.000 0.000  0.00
Se: 0.000 0.500 0.000  0.00
Rb: 0.500 0.500 0.500  0.00
As: 0.000 0.000 0.500  0.14

# 2
First-principles (PBE) data for a relaxed BaScMo2 crystal, as listed in Alexandria via LeMat-Bulk.

Properties
ΔH_f (0 K) = 105 kJ/mol of atoms
distance to the lowest polymorph of the same formula = 0.707 eV per atom

Lattice parameters (Å, degrees): 5.928 5.928 2.906 90.00 90.00 121.80
Sites, in units of the cell vectors:
Ba: 0.000 0.500 0.500
Sc: 0.500 0.000 0.500
Mo: 0.000 0.000 0.000
Mo: 0.500 0.500 0.000

# 3
First-principles (PBE) data for a relaxed Tl2RuAu crystal, as listed in Alexandria via LeMat-Bulk.

Properties
ΔH_f (0 K) = 50 kJ/mol of atoms
distance to the lowest polymorph of the same formula = 0.178 eV per atom

Lattice parameters (Å, degrees): 9.742 9.742 9.742 19.09 19.09 19.09
Site moments in Bohr magnetons follow the coordinates.
Sites, in units of the cell vectors:
Tl: 0.244 0.244 0.244  0.00
Tl: 0.010 0.010 0.010  0.00
Ru: 0.754 0.754 0.754  1.28
Au: 0.492 0.492 0.492  0.07

# 4
First-principles (PBE) data for a relaxed TcAsO2F crystal, as listed in Alexandria via LeMat-Bulk.

Properties
E_form (uncorrected) = -1.204 eV/f.u.

Lattice parameters (Å, degrees): 4.055 4.055 4.144 90.00 90.00 90.00
Site moments in Bohr magnetons follow the coordinates.
Sites, in units of the cell vectors:
O: 0.000 0.500 0.000  0.10
O: 0.500 0.000 0.000  0.10
As: 0.000 0.000 0.000  -0.01
F: 0.000 0.000 0.500  0.04
Tc: 0.500 0.500 0.500  4.02

# 5
First-principles (PBE) data for a relaxed CuGeRh crystal, as listed in Alexandria via LeMat-Bulk.

Properties
ΔH_f (0 K) = -18 kJ/mol of atoms

Lattice parameters (Å, degrees): 4.036 4.036 4.036 60.00 60.00 60.00
Sites, in units of the cell vectors:
Rh: 0.500 0.500 0.500
Cu: 0.000 0.000 0.000
Ge: 0.250 0.250 0.250

# 6
First-principles (PBE) data for a relaxed LuTe2H crystal, as listed in Alexandria via LeMat-Bulk.

Lattice parameters (Å, degrees): 4.426 4.426 7.620 73.11 73.11 60.00
Sites, in units of the cell vectors:
Te: 0.909 0.909 0.272
Te: 0.091 0.091 0.728
H: 0.000 0.000 0.000
Lu: 0.500 0.500 0.500

# 7
First-principles (PBE) data for a relaxed SrTiCu2 crystal, as listed in Alexandria via LeMat-Bulk.

Properties
ΔH_f (0 K) = 50 kJ/mol of atoms
distance to the lowest polymorph of the same formula = 0.131 eV per atom

Lattice parameters (Å, degrees): 4.887 4.887 9.200 74.60 74.60 90.00
Site moments in Bohr magnetons follow the coordinates.
Sites, in units of the cell vectors:
Cu: 0.375 0.625 0.250  -0.01
Cu: 0.375 0.125 0.250  -0.01
Cu: 0.875 0.625 0.750  0.01
Cu: 0.375 0.625 0.750  0.00
Ti: 0.500 0.500 0.000  0.97
Ti: 0.250 0.750 0.500  0.97
Sr: 0.750 0.250 0.500  0.04
Sr: 0.000 0.000 0.000  0.04

# 8
First-principles (PBE) data for a relaxed Ba2PuAs4Pd3 crystal, as listed in Alexandria via LeMat-Bulk.

Properties
ΔH_f (0 K) = -75 kJ/mol of atoms

Lattice parameters (Å, degrees): 4.608 4.608 11.100 90.00 90.00 90.00
Site moments in Bohr magnetons follow the coordinates.
Sites, in units of the cell vectors:
As: 0.500 0.000 0.652  -0.07
As: 0.000 0.000 0.000  0.00
As: 0.500 0.500 0.000  0.00
As: 0.000 0.500 0.348  -0.07
Pd: 0.000 0.000 0.500  -0.10
Pd: 0.000 0.500 0.105  -0.01
Pd: 0.500 0.000 0.895  -0.01
Ba: 0.500 0.000 0.230  0.01
Ba: 0.000 0.500 0.770  0.01
Pu: 0.500 0.500 0.500  5.11

# 9
First-principles (PBE) data for a relaxed Tc3SnB crystal, as listed in Alexandria via LeMat-Bulk.

Properties
ΔH_f (0 K) = 11 kJ/mol of atoms
distance to the lowest polymorph of the same formula = 0.000 eV per atom

Lattice parameters (Å, degrees): 4.188 4.188 4.188 90.00 90.00 90.00
Site moments in Bohr magnetons follow the coordinates.
Sites, in units of the cell vectors:
B: 0.000 0.000 0.000  -0.02
Sn: 0.500 0.500 0.500  -0.03
Tc: 0.500 0.000 0.000  0.47
Tc: 0.000 0.000 0.500  0.42
Tc: 0.000 0.500 0.000  0.59

# 10
First-principles (PBE) data for a relaxed TbCeHg crystal, as listed in Alexandria via LeMat-Bulk.

Properties
ΔH_f (0 K) = -24 kJ/mol of atoms
distance to the lowest polymorph of the same formula = 0.000 eV per atom

Lattice parameters (Å, degrees): 3.551 5.332 8.767 90.00 101.68 90.00
Site moments in Bohr magnetons follow the coordinates.
Sites, in units of the cell vectors:
Hg: 0.589 0.750 0.179  0.00
Hg: 0.411 0.250 0.821  0.00
Tb: 0.926 0.750 0.851  0.02
Tb: 0.074 0.250 0.149  0.02
Ce: 0.245 0.750 0.489  0.43
Ce: 0.755 0.250 0.511  0.43

# 11
First-principles (PBE) data for a relaxed Tb3Sm5Tm crystal, as listed in Alexandria via LeMat-Bulk.

Properties
ΔH_f (0 K) = 48 kJ/mol of atoms
distance to the lowest polymorph of the same formula = 0.299 eV per atom

Lattice parameters (Å, degrees): 9.573 9.573 11.703 52.76 52.76 74.80
Sites, in units of the cell vectors:
Tb: 0.314 0.314 0.178
Tb: 0.662 0.662 0.353
Tb: 0.000 0.000 0.500
Tb: 0.686 0.686 0.822
Tb: 0.000 0.000 0.000
Tb: 0.338 0.338 0.647
Sm: 0.492 0.492 0.236
Sm: 0.508 0.508 0.764
Sm: 0.820 0.820 0.955
Sm: 0.339 0.844 0.259
Sm: 0.844 0.339 0.259
Sm: 0.254 0.746 0.000
Sm: 0.746 0.254 0.000
Sm: 0.156 0.661 0.741
Sm: 0.661 0.156 0.741
Sm: 0.180 0.180 0.045
Tm: 0.153 0.153 0.596
Tm: 0.847 0.847 0.404

# 12
First-principles (PBE) data for a relaxed Ba2HfNbFe crystal, as listed in Alexandria via LeMat-Bulk.

Properties
ΔH_f (0 K) = 153 kJ/mol of atoms

Lattice parameters (Å, degrees): 6.433 4.920 6.433 90.00 90.00 90.00
Site moments in Bohr magnetons follow the coordinates.
Sites, in units of the cell vectors:
Fe: 0.500 0.500 0.500  3.18
Nb: 0.000 0.500 0.000  -0.79
Hf: 0.000 0.000 0.000  0.14
Ba: 0.000 0.000 0.500  0.00
Ba: 0.500 0.000 0.000  -0.02

# 13
First-principles (PBE) data for a relaxed Tc4Rh crystal, as listed in Alexandria via LeMat-Bulk.

Properties
ΔH_f (0 K) = 147 kJ/mol of atoms
distance to the lowest polymorph of the same formula = 1.532 eV per atom

Lattice parameters (Å, degrees): 4.907 4.907 4.907 109.47 109.47 109.47
Sites, in units of the cell vectors:
Tc: 0.500 0.500 0.500
Tc: 0.000 0.000 0.500
Tc: 0.000 0.500 0.000
Tc: 0.500 0.000 0.000
Rh: 0.000 0.000 0.000

no.,total DFT energy (no corrections) (Ry per atom)
1,-0.24998
2,-0.46941
3,-0.27981
4,-0.41170
5,-0.40709
6,-0.31205
7,-0.28849
8,-0.44203
9,-0.60589
10,-0.28435
11,-0.30589
12,-0.35864
13,-0.60529